VASP calculation (PBE) on a geometry-optimized PrEuDy structure.

Cell lengths 3.694, 3.694, 9.085 Å; angles 90.00, 90.00, 120.00 degrees
Atoms (fractional coordinates):
Eu (0.000, 0.000, 0.005)
Pr (0.333, 0.667, 0.654)
Dy (0.667, 0.333, 0.341)

=====

VASP calculation (PBE) on a geometry-optimized Pr2EuDy structure.

Output
ΔE to the lowest computed polymorph (eV/atom): 0.0626

Cell lengths 3.626, 3.626, 13.024 Å; angles 82.00, 82.00, 60.00 degrees
Atoms (fractional coordinates):
Pr (0.091, 0.091, 0.727)
Eu (0.000, 0.000, 0.000)
Dy (0.500, 0.500, 0.500)
Pr (0.909, 0.909, 0.273)

=====

So what do the calculations give for energy? Going down the list: -6.510, -5.980 eV/atom.
So what do the calculations give for ΔH_f (0 K)? Going down the list: 42.4, 128.5 meV/atom.